one) This record from Alexandria describes a relaxed structure of ZnPtSe2N. The functional is GGA-PBE.

Computed properties:
Density of states at the Fermi level, states/eV per atom: 1.24

Unit cell a=5.028 b=5.028 c=3.535 alpha=90.00 beta=90.00 gamma=90.00
Atoms (fractional coordinates):
Zn  0.000  0.000  0.000
Se  0.000  0.500  0.000
Se  0.500  0.000  0.000
Pt  0.500  0.500  0.500
N  0.000  0.000  0.500

---

two) This record from Alexandria describes a relaxed structure of ZnPtSe2N. The functional is GGA-PBE.

Computed properties:
Density of states at the Fermi level, states/eV per atom: 0.61

Unit cell a=5.260 b=5.260 c=3.657 alpha=90.00 beta=90.00 gamma=90.00
Atoms (fractional coordinates):
Zn  0.500  0.500  0.500
Se  0.000  0.500  0.000
Se  0.500  0.000  0.000
Pt  0.000  0.000  0.000
N  0.000  0.000  0.500

---

Most stable: two)

---

one) This record from Alexandria describes a relaxed structure of ZrPtSeN2. The functional is GGA-PBE.

Computed properties:
Density of states at the Fermi level, states/eV per atom: 1.13

Unit cell a=4.055 b=4.055 c=5.736 alpha=90.00 beta=90.00 gamma=90.00
Site moments in Bohr magnetons follow the coordinates.
Atoms (fractional coordinates):
Se  0.000  0.000  0.500  0.03
Zr  0.000  0.000  0.000  -0.02
Pt  0.500  0.500  0.500  0.20
N  0.000  0.500  0.000  0.13
N  0.500  0.000  0.000  0.13

---

two) This record from Alexandria describes a relaxed structure of ZrPtSeN2. The functional is GGA-PBE.

Computed properties:
Density of states at the Fermi level, states/eV per atom: 1.09

Unit cell a=3.975 b=3.975 c=4.969 alpha=90.00 beta=90.00 gamma=90.00
Atoms (fractional coordinates):
Se  0.000  0.000  0.500
Zr  0.500  0.500  0.500
Pt  0.000  0.000  0.000
N  0.000  0.500  0.000
N  0.500  0.000  0.000

---

Most stable: one)

---

one) This record from Alexandria describes a relaxed structure of SiTe2PtN. The functional is GGA-PBE.

Computed properties:
Density of states at the Fermi level, states/eV per atom: 0.63

Unit cell a=5.579 b=5.579 c=3.681 alpha=90.00 beta=90.00 gamma=90.00
Atoms (fractional coordinates):
Si  0.500  0.500  0.500
Te  0.000  0.500  0.000
Te  0.500  0.000  0.000
Pt  0.000  0.000  0.000
N  0.000  0.000  0.500

---

two) This record from Alexandria describes a relaxed structure of SiTe2PtN. The functional is GGA-PBE.

Computed properties:
Density of states at the Fermi level, states/eV per atom: 0.22

Unit cell a=5.449 b=5.449 c=3.233 alpha=90.00 beta=90.00 gamma=90.00
Atoms (fractional coordinates):
Si  0.000  0.000  0.000
Te  0.000  0.500  0.000
Te  0.500  0.000  0.000
Pt  0.500  0.500  0.500
N  0.000  0.000  0.500

---

Most stable: two)

---

one) This record from Alexandria describes a relaxed structure of Sn2PtN2. The functional is GGA-PBE.

Computed properties:
Density of states at the Fermi level, states/eV per atom: 0.69

Unit cell a=3.674 b=3.674 c=6.360 alpha=73.21 beta=73.21 gamma=90.00
Atoms (fractional coordinates):
Sn  0.353  0.353  0.294
Sn  0.647  0.647  0.706
Pt  0.000  0.000  0.000
N  0.750  0.250  0.500
N  0.250  0.750  0.500

---

two) This record from Alexandria describes a relaxed structure of Sn2PtN2. The functional is GGA-PBE.

Computed properties:
Density of states at the Fermi level, states/eV per atom: 0.39

Unit cell a=3.368 b=3.368 c=11.872 alpha=72.81 beta=72.81 gamma=90.02
Atoms (fractional coordinates):
Sn  0.339  0.339  0.154
Sn  0.661  0.661  0.846
Pt  0.000  0.000  0.000
N  0.451  0.451  0.552
N  0.549  0.549  0.448

---

Most stable: two)

---

one) This record from Alexandria describes a relaxed structure of SnPt2N. The functional is GGA-PBE.

Computed properties:
Density of states at the Fermi level, states/eV per atom: 0.98

Unit cell a=4.423 b=4.423 c=4.423 alpha=60.00 beta=60.00 gamma=60.00
Atoms (fractional coordinates):
Sn  0.500  0.500  0.500
Pt  0.250  0.250  0.250
Pt  0.750  0.750  0.750
N  0.000  0.000  0.000

---

two) This record from Alexandria describes a relaxed structure of SnPt2N. The functional is GGA-PBE.

Computed properties:
Density of states at the Fermi level, states/eV per atom: 0.61

Unit cell a=4.966 b=4.966 c=6.974 alpha=69.14 beta=69.14 gamma=90.00
Atoms (fractional coordinates):
Sn  0.000  0.000  0.000
Sn  0.750  0.250  0.500
Pt  0.496  0.125  0.250
Pt  0.254  0.625  0.250
Pt  0.375  0.504  0.750
Pt  0.875  0.746  0.750
N  0.500  0.500  0.000
N  0.250  0.750  0.500

---

Most stable: two)

---

one) This record from Alexandria describes a relaxed structure of SnTePtN2. The functional is GGA-PBE.

Computed properties:
Density of states at the Fermi level, states/eV per atom: 0.65

Unit cell a=4.040 b=4.040 c=6.418 alpha=90.00 beta=90.00 gamma=90.00
Site moments in Bohr magnetons follow the coordinates.
Atoms (fractional coordinates):
Te  0.000  0.000  0.500  0.15
Sn  0.000  0.000  0.000  -0.06
Pt  0.500  0.500  0.500  0.32
N  0.000  0.500  0.000  0.88
N  0.500  0.000  0.000  0.88

---

two) This record from Alexandria describes a relaxed structure of SnTePtN2. The functional is GGA-PBE.

Computed properties:
Density of states at the Fermi level, states/eV per atom: 0.44

Unit cell a=4.166 b=4.166 c=5.656 alpha=90.00 beta=90.00 gamma=90.00
Site moments in Bohr magnetons follow the coordinates.
Atoms (fractional coordinates):
Te  0.000  0.000  0.500  0.06
Sn  0.500  0.500  0.500  -0.02
Pt  0.000  0.000  0.000  0.49
N  0.000  0.500  0.000  0.89
N  0.500  0.000  0.000  0.89

---

Most stable: two)